Tc2IrW PBE optimized geometry; total energy = -10.34 eV per atom; space-group type = F-43m; energy of formation = 0.29 eV/atom
1.0
0.000 3.120 3.120
3.120 0.000 3.120
3.120 3.120 0.000
W Tc Ir
1 2 1
direct
0.750 0.750 0.750
0.000 0.000 0.000
0.250 0.250 0.250
0.500 0.500 0.500